*one*
Entry from Alexandria via LeMat-Bulk: crystalline Al3SiNi2 at its relaxed geometry (PBE).

POSCAR file:
```
Al3SiNi2
1.0
5.444 2.246 -1.546
-5.914 1.315 0.603
0.573 0.991 3.460
Al Si Ni
3 1 2
direct
0.328 0.672 0.000
0.672 0.328 0.000
0.500 0.500 0.500
0.000 0.000 0.000
0.161 0.839 0.500
0.839 0.161 0.500
```

---

*two*
Entry from Alexandria via LeMat-Bulk: crystalline Al3SiNi2 at its relaxed geometry (PBE).

POSCAR file:
```
Al3SiNi2
1.0
-4.535 -2.619 0.214
4.514 -2.616 -0.501
0.573 -0.400 7.258
Ni Si Al
4 2 6
direct
0.333 0.667 0.057
0.667 0.333 0.557
0.667 0.333 0.943
0.333 0.667 0.443
0.000 0.000 0.000
0.000 0.000 0.500
0.824 0.648 0.250
0.352 0.176 0.250
0.824 0.176 0.250
0.176 0.352 0.750
0.648 0.824 0.750
0.176 0.824 0.750
```

---

*three*
Entry from Alexandria via LeMat-Bulk: crystalline Al3SiNi2 at its relaxed geometry (PBE).

POSCAR file:
```
Al3SiNi2
1.0
2.362 4.507 1.087
-2.851 -0.466 -4.327
-3.136 1.176 1.940
Al Si Ni
3 1 2
direct
0.000 0.500 0.500
0.500 0.500 0.500
0.500 0.000 0.500
0.000 0.000 0.000
0.667 0.333 0.000
0.333 0.667 0.000
```

---

What is the most stable structure shown above? It is *one*.